# 1
{"formula": "LiScNi2Sb", "functional": "PBE-GGA", "state": "relaxed", "lattice_angstrom": [[4.474, 0.000, 0.000], [0.000, 4.882, 0.000], [0.000, 0.000, 4.474]], "species": ["Ni", "Sb", "Ni", "Li", "Sc"], "fractional_positions": [[0.500, 0.000, 0.000], [0.500, 0.500, 0.500], [0.000, 0.000, 0.500], [0.000, 0.500, 0.000], [0.000, 0.000, 0.000]], "formation_energy_uncorrected_ev_per_atom": 0.685, "dft_energy_ev_per_atom": -4.10}

# 2
{"formula": "LiSmNiSb", "functional": "PBE-GGA", "state": "relaxed", "lattice_angstrom": [[4.700, 0.000, 0.000], [2.350, 4.071, 0.000], [2.350, 1.357, 3.838]], "species": ["Sm", "Li", "Sb", "Ni"], "fractional_positions": [[0.000, 0.000, 0.000], [0.250, 0.250, 0.250], [0.500, 0.500, 0.500], [0.750, 0.750, 0.750]], "formation_energy_uncorrected_ev_per_atom": -0.520, "dft_energy_ev_per_atom": -4.65}

# 3
{"formula": "LiNi7Sn2Sb2", "functional": "PBE-GGA", "state": "relaxed", "lattice_angstrom": [[-1.767, -1.304, -2.967], [2.366, -2.832, -0.070], [-8.601, -8.681, 7.690]], "species": ["Ni", "Sn", "Sb", "Ni", "Ni", "Ni", "Ni", "Ni", "Ni", "Sn", "Li", "Sb"], "fractional_positions": [[0.966, 0.467, 0.114], [0.139, 0.139, 0.588], [0.433, 0.433, 0.234], [0.500, 0.500, 0.000], [0.467, 0.966, 0.114], [0.034, 0.533, 0.886], [0.371, 0.371, 0.410], [0.629, 0.629, 0.590], [0.533, 0.034, 0.886], [0.861, 0.861, 0.412], [0.000, 0.000, 0.000], [0.567, 0.567, 0.766]], "formation_energy_uncorrected_ev_per_atom": -0.009, "dft_energy_ev_per_atom": -4.89}

Question: What is the formula in the third record?
Answer: LiNi7Sn2Sb2

Copy entry 1 word for word.
{"formula": "LiScNi2Sb", "functional": "PBE-GGA", "state": "relaxed", "lattice_angstrom": [[4.474, 0.000, 0.000], [0.000, 4.882, 0.000], [0.000, 0.000, 4.474]], "species": ["Ni", "Sb", "Ni", "Li", "Sc"], "fractional_positions": [[0.500, 0.000, 0.000], [0.500, 0.500, 0.500], [0.000, 0.000, 0.500], [0.000, 0.500, 0.000], [0.000, 0.000, 0.000]], "formation_energy_uncorrected_ev_per_atom": 0.685, "dft_energy_ev_per_atom": -4.10}